An optimized crystal structure of Ag3OsF8. Source: Alexandria, functional PBE.

Unit cell a=6.1868 b=6.1868 c=7.6193 alpha=90.00 beta=90.00 gamma=123.14
Last column: nearest neighbours and their distance in Å.
Sites, in units of the cell vectors:
Ag 0.0000 0.5000 0.2202  2 F 2.31
Ag 0.5000 0.5000 0.0000  2 F 2.14
Ag 0.5000 0.0000 0.7798  2 F 2.31
Os 0.5000 0.5000 0.5000  6 F 1.92-1.93
F 0.6775 0.3225 0.5000  1 Os 1.93
F 0.6970 0.3030 0.0000  3 Ag 2.14-2.31
F 0.7212 0.7338 0.6809  1 Os 1.92
F 0.7338 0.7212 0.3191  1 Os 1.92
F 0.2662 0.2788 0.3191  1 Os 1.92
F 0.2788 0.2662 0.6809  1 Os 1.92
F 0.3030 0.6970 0.0000  3 Ag 2.14-2.31
F 0.3225 0.6775 0.5000  1 Os 1.93

Calculated values
- SG: C222, No. 21
- DOS(E_F): 0.03 states/eV/atom
- E: -51.114 eV per cell
- Crystal system: orthorhombic
- Total magnetic moment: 3.0 μB/cell
- ρ: 4.53 g/cm³